The following is a DFT calculation (PBE) of a relaxed structure of TbY3Er4S8.

Computed properties:
Size of the total moment in μB per formula unit: 0.0
ΔE_f (raw) in eV/atom: -1.973
Crystal system: trigonal

```
data_TbY3Er4S8
_cell_length_a 7.793
_cell_length_b 7.793
_cell_length_c 7.793
_cell_angle_alpha 59.90
_cell_angle_beta 59.90
_cell_angle_gamma 59.90
_space_group_name_H-M_alt 'P 1'
_space_group_IT_number 1
_space_group_name_Hall 'P 1'
loop_
_atom_site_label
_atom_site_type_symbol
_atom_site_fract_x
_atom_site_fract_y
_atom_site_fract_z
_atom_site_occupancy
Tb1 Tb 0.000 0.000 0.000 1
Y1 Y 0.000 0.500 0.500 1
Y2 Y 0.500 0.000 0.500 1
Y3 Y 0.500 0.500 0.000 1
Er1 Er 0.000 0.000 0.500 1
Er2 Er 0.000 0.500 0.000 1
Er3 Er 0.500 0.000 0.000 1
Er4 Er 0.500 0.500 0.500 1
S1 S 0.248 0.248 0.248 1
S2 S 0.248 0.748 0.748 1
S3 S 0.252 0.252 0.752 1
S4 S 0.252 0.752 0.252 1
S5 S 0.748 0.248 0.748 1
S6 S 0.748 0.748 0.248 1
S7 S 0.752 0.252 0.252 1
S8 S 0.752 0.752 0.752 1
```


The following is a DFT calculation (PBE) of a relaxed structure of CdReNi.

Computed properties:
Size of the total moment in μB per formula unit: 1.0
Polymorph energy (0 for the lowest one) in eV per atom: 0.557
Crystal system: cubic

```
data_CdReNi
_cell_length_a 4.150
_cell_length_b 4.150
_cell_length_c 4.150
_cell_angle_alpha 60.00
_cell_angle_beta 60.00
_cell_angle_gamma 60.00
_space_group_name_H-M_alt 'P 1'
_space_group_IT_number 1
_space_group_name_Hall 'P 1'
loop_
_atom_site_label
_atom_site_type_symbol
_atom_site_fract_x
_atom_site_fract_y
_atom_site_fract_z
_atom_site_occupancy
Cd1 Cd 0.000 0.000 0.000 1
Re1 Re 0.500 0.500 0.500 1
Ni1 Ni 0.250 0.250 0.250 1
```


The following is a DFT calculation (PBE) of a relaxed structure of La3TmTe4.

Computed properties:
Size of the total moment in μB per formula unit: 0.0
Polymorph energy (0 for the lowest one) in eV per atom: 0.000
ΔE_f (raw) in eV/atom: -1.486
Crystal system: monoclinic

```
data_La3TmTe4
_cell_length_a 7.889
_cell_length_b 8.954
_cell_length_c 7.799
_cell_angle_alpha 90.00
_cell_angle_beta 109.15
_cell_angle_gamma 90.00
_space_group_name_H-M_alt 'P 1'
_space_group_IT_number 1
_space_group_name_Hall 'P 1'
loop_
_atom_site_label
_atom_site_type_symbol
_atom_site_fract_x
_atom_site_fract_y
_atom_site_fract_z
_atom_site_occupancy
La1 La 0.000 0.122 0.250 1
La2 La 0.000 0.373 0.750 1
La3 La 0.000 0.627 0.250 1
La4 La 0.000 0.878 0.750 1
La5 La 0.500 0.124 0.750 1
La6 La 0.500 0.876 0.250 1
Tm1 Tm 0.500 0.373 0.250 1
Tm2 Tm 0.500 0.627 0.750 1
Te1 Te 0.258 0.133 0.009 1
Te2 Te 0.258 0.867 0.509 1
Te3 Te 0.265 0.383 0.499 1
Te4 Te 0.265 0.617 0.999 1
Te5 Te 0.735 0.383 0.001 1
Te6 Te 0.735 0.617 0.501 1
Te7 Te 0.742 0.133 0.491 1
Te8 Te 0.742 0.867 0.991 1
```


The following is a DFT calculation (PBE) of a relaxed structure of Tb3Y2ErBi6.

Computed properties:
Size of the total moment in μB per formula unit: 0.0
E in eV per atom: -5.43
Crystal system: monoclinic

```
data_Tb3Y2ErBi6
_cell_length_a 10.018
_cell_length_b 10.018
_cell_length_c 8.964
_cell_angle_alpha 102.85
_cell_angle_beta 102.85
_cell_angle_gamma 25.85
_space_group_name_H-M_alt 'P 1'
_space_group_IT_number 1
_space_group_name_Hall 'P 1'
loop_
_atom_site_label
_atom_site_type_symbol
_atom_site_fract_x
_atom_site_fract_y
_atom_site_fract_z
_atom_site_occupancy
Tb1 Tb 0.000 0.000 0.000 1
Tb2 Tb 0.333 0.333 0.667 1
Tb3 Tb 0.667 0.667 0.333 1
Y1 Y 0.333 0.333 0.167 1
Y2 Y 0.667 0.667 0.833 1
Er1 Er 0.000 0.000 0.500 1
Bi1 Bi 0.166 0.166 0.583 1
Bi2 Bi 0.167 0.167 0.083 1
Bi3 Bi 0.500 0.500 0.252 1
Bi4 Bi 0.500 0.500 0.748 1
Bi5 Bi 0.833 0.833 0.917 1
Bi6 Bi 0.834 0.834 0.417 1
```


The following is a DFT calculation (PBE) of a relaxed structure of LiTlCuAu.

Computed properties:
Size of the total moment in μB per formula unit: 0.0
E in eV per atom: -3.06
Crystal system: cubic

```
data_LiTlCuAu
_cell_length_a 4.587
_cell_length_b 4.587
_cell_length_c 4.587
_cell_angle_alpha 60.00
_cell_angle_beta 60.00
_cell_angle_gamma 60.00
_space_group_name_H-M_alt 'P 1'
_space_group_IT_number 1
_space_group_name_Hall 'P 1'
loop_
_atom_site_label
_atom_site_type_symbol
_atom_site_fract_x
_atom_site_fract_y
_atom_site_fract_z
_atom_site_occupancy
Li1 Li 0.000 0.000 0.000 1
Tl1 Tl 0.250 0.250 0.250 1
Cu1 Cu 0.500 0.500 0.500 1
Au1 Au 0.750 0.750 0.750 1
```


The following is a DFT calculation (PBE) of a relaxed structure of RbTiRh3.

Computed properties:
Size of the total moment in μB per formula unit: 0.4
Polymorph energy (0 for the lowest one) in eV per atom: 0.000
Crystal system: cubic

```
data_RbTiRh3
_cell_length_a 4.755
_cell_length_b 4.755
_cell_length_c 4.755
_cell_angle_alpha 90.00
_cell_angle_beta 90.00
_cell_angle_gamma 90.00
_space_group_name_H-M_alt 'P 1'
_space_group_IT_number 1
_space_group_name_Hall 'P 1'
loop_
_atom_site_label
_atom_site_type_symbol
_atom_site_fract_x
_atom_site_fract_y
_atom_site_fract_z
_atom_site_occupancy
Rb1 Rb 0.000 0.000 0.000 1
Ti1 Ti 0.500 0.500 0.500 1
Rh1 Rh 0.000 0.500 0.500 1
Rh2 Rh 0.500 0.000 0.500 1
Rh3 Rh 0.500 0.500 0.000 1
```


The following is a DFT calculation (PBE) of a relaxed structure of CaNbGeTeP.

Computed properties:
Size of the total moment in μB per formula unit: 0.0
Polymorph energy (0 for the lowest one) in eV per atom: 0.079
ΔE_f (raw) in eV/atom: -0.526
Crystal system: orthorhombic

```
data_CaNbGeTeP
_cell_length_a 8.543
_cell_length_b 8.543
_cell_length_c 8.543
_cell_angle_alpha 155.95
_cell_angle_beta 154.57
_cell_angle_gamma 35.29
_space_group_name_H-M_alt 'P 1'
_space_group_IT_number 1
_space_group_name_Hall 'P 1'
loop_
_atom_site_label
_atom_site_type_symbol
_atom_site_fract_x
_atom_site_fract_y
_atom_site_fract_z
_atom_site_occupancy
Ca1 Ca 0.000 0.000 0.000 1
Nb1 Nb 0.243 0.743 0.500 1
Ge1 Ge 0.609 0.609 0.000 1
Te1 Te 0.383 0.383 0.000 1
P1 P 0.714 0.214 0.500 1
```


The following is a DFT calculation (PBE) of a relaxed structure of Pm2NdSn.

Computed properties:
Size of the total moment in μB per formula unit: 0.0
Polymorph energy (0 for the lowest one) in eV per atom: 0.000
Crystal system: tetragonal

```
data_Pm2NdSn
_cell_length_a 4.937
_cell_length_b 4.937
_cell_length_c 4.917
_cell_angle_alpha 90.00
_cell_angle_beta 90.00
_cell_angle_gamma 90.00
_space_group_name_H-M_alt 'P 1'
_space_group_IT_number 1
_space_group_name_Hall 'P 1'
loop_
_atom_site_label
_atom_site_type_symbol
_atom_site_fract_x
_atom_site_fract_y
_atom_site_fract_z
_atom_site_occupancy
Pm1 Pm 0.000 0.500 0.000 1
Pm2 Pm 0.500 0.000 0.000 1
Nd1 Nd 0.000 0.000 0.500 1
Sn1 Sn 0.500 0.500 0.500 1
```